1.
# RuAuBr2

Crystalline RuAuBr2 at its relaxed geometry (GGA-PBE, Alexandria via LeMat-Bulk).

abc: 3.457 3.457 8.697
angles: 90.00 90.00 110.19
Fractional positions:
Ru: 0.000 0.000 0.000
Au: 0.500 0.500 0.203
Br: 0.000 0.000 0.408
Br: 0.500 0.500 0.810

- DOS(E_F): 1.125 states/eV/atom
- Crystal system: orthorhombic
- E_form (uncorrected): 0.4542 eV per atom
- Total energy: -3.521 eV/atom

=====

2.
# RuAu2Br

Crystalline RuAu2Br at its relaxed geometry (GGA-PBE, Alexandria via LeMat-Bulk).

abc: 2.936 3.215 8.474
angles: 90.00 90.48 90.00
Fractional positions:
Ru: 0.000 0.000 0.000
Au: 0.495 0.500 0.785
Au: 0.989 0.000 0.561
Br: 0.005 0.500 0.213

- DOS(E_F): 0.823 states/eV/atom
- Crystal system: monoclinic
- E_form (uncorrected): 0.4206 eV per atom
- Total energy: -3.955 eV/atom

=====

3.
# RuAuBr2

Crystalline RuAuBr2 at its relaxed geometry (GGA-PBE, Alexandria via LeMat-Bulk).

abc: 5.154 5.154 6.929
angles: 108.74 108.74 40.94
Fractional positions:
Ru: 0.000 0.000 0.000
Au: 0.760 0.760 0.086
Br: 0.409 0.409 0.748
Br: 0.568 0.568 0.282

- DOS(E_F): 0.412 states/eV/atom
- Crystal system: monoclinic
- E_form (uncorrected): 0.2343 eV per atom
- Total energy: -3.740 eV/atom

=====

4.
# RuAu2Br

Crystalline RuAu2Br at its relaxed geometry (GGA-PBE, Alexandria via LeMat-Bulk).

abc: 9.399 9.399 9.399
angles: 18.95 18.95 18.95
Fractional positions:
Ru: 0.000 0.000 0.000
Au: 0.492 0.492 0.492
Au: 0.743 0.743 0.743
Br: 0.269 0.269 0.269

- DOS(E_F): 0.530 states/eV/atom
- Crystal system: trigonal
- E_form (uncorrected): 0.4076 eV per atom
- Total energy: -3.968 eV/atom

=====

5.
# Ru2AuBr

Crystalline Ru2AuBr at its relaxed geometry (GGA-PBE, Alexandria via LeMat-Bulk).

abc: 4.321 4.321 5.645
angles: 100.36 100.36 40.56
Fractional positions:
Ru: 0.250 0.250 0.206
Ru: 0.750 0.750 0.794
Au: 0.000 0.000 0.500
Br: 0.500 0.500 0.000

- DOS(E_F): 0.752 states/eV/atom
- Crystal system: monoclinic
- E_form (uncorrected): 0.7819 eV per atom
- Total energy: -5.094 eV/atom

=====

6.
# RuAu2Br

Crystalline RuAu2Br at its relaxed geometry (GGA-PBE, Alexandria via LeMat-Bulk).

abc: 2.783 2.783 11.289
angles: 90.00 90.00 90.00
Fractional positions:
Ru: 0.000 0.000 0.000
Au: 0.500 0.500 0.181
Au: 0.500 0.500 0.819
Br: 0.000 0.000 0.500

- DOS(E_F): 0.980 states/eV/atom
- Crystal system: tetragonal
- E_form (uncorrected): 0.5429 eV per atom
- Total energy: -3.833 eV/atom

=====

What did the second record say?
# RuAu2Br

Crystalline RuAu2Br at its relaxed geometry (GGA-PBE, Alexandria via LeMat-Bulk).

abc: 2.936 3.215 8.474
angles: 90.00 90.48 90.00
Fractional positions:
Ru: 0.000 0.000 0.000
Au: 0.495 0.500 0.785
Au: 0.989 0.000 0.561
Br: 0.005 0.500 0.213

- DOS(E_F): 0.823 states/eV/atom
- Crystal system: monoclinic
- E_form (uncorrected): 0.4206 eV per atom
- Total energy: -3.955 eV/atom

=====

> Which value of total energy does entry 5 give?

-5.094 eV/atom